Arrangement 1

DFT (GGA-PBE) results for AlPtNO after structural relaxation.

a = 3.9046 Å, b = 3.9046 Å, c = 6.6461 Å
α = 90.00°, β = 90.00°, γ = 90.07°
With the nearest neighbours (Å) after each atom.
Fractional coordinates of all 8 atoms:
Al  0.2500  0.2500  0.5000  4 N 1.98
Al  0.7500  0.7500  0.5000  4 N 1.98
N  0.7500  0.2500  0.4527  4 Al 1.98
N  0.2500  0.7500  0.5473  4 Al 1.98
O  0.2500  0.2500  0.0000  4 Pt 2.05
O  0.7500  0.7500  0.0000  4 Pt 2.05
Pt  0.2500  0.7500  0.0925  4 O 2.05
Pt  0.7500  0.2500  0.9075  4 O 2.05

Summary:
Theoretical density (g/cm³): 8.26


Arrangement 2

DFT (GGA-PBE) results for AlPtNO after structural relaxation.

a = 3.1421 Å, b = 4.9302 Å, c = 6.2860 Å
α = 90.00°, β = 90.00°, γ = 90.00°
With the nearest neighbours (Å) after each atom.
Fractional coordinates of all 8 atoms:
Al  0.5000  0.9967  0.1431  2 O 1.76-1.77, 2 N 1.87
Al  0.5000  0.4967  0.8569  2 O 1.76-1.77, 2 N 1.87
N  0.0000  0.8860  0.2779  2 Al 1.87, 2 Pt 2.01-2.02
N  0.0000  0.3860  0.7221  2 Al 1.87, 2 Pt 2.01-2.02
O  0.5000  0.3520  0.1146  2 Al 1.76-1.77
O  0.5000  0.8520  0.8854  2 Al 1.76-1.77
Pt  0.0000  0.5193  0.4176  2 N 2.01-2.02
Pt  0.0000  0.0193  0.5824  2 N 2.01-2.02

Summary:
Theoretical density (g/cm³): 8.60


Energy ordering: arrangement 2 at the bottom, the next structure 735 meV/atom above.